1) Density functional theory data (GGA-PBE) for crystalline HfBeNiHg at its relaxed geometry.

Magnetization: 0.01 μB/f.u.

Unit cell a=4.446 b=4.446 c=4.446 alpha=60.00 beta=60.00 gamma=60.00
Sites, in units of the cell vectors:
Be: 0.750 0.750 0.750
Hf: 0.000 0.000 0.000
Hg: 0.250 0.250 0.250
Ni: 0.500 0.500 0.500

***

2) Density functional theory data (GGA-PBE) for crystalline HfBeNiHg at its relaxed geometry.

Magnetization: 0.00 μB/f.u.

Unit cell a=4.461 b=4.461 c=4.461 alpha=60.00 beta=60.00 gamma=60.00
Sites, in units of the cell vectors:
Be: 0.750 0.750 0.750
Hf: 0.250 0.250 0.250
Hg: 0.000 0.000 0.000
Ni: 0.500 0.500 0.500

***

3) Density functional theory data (GGA-PBE) for crystalline HfBeNiHg at its relaxed geometry.

Magnetization: 0.00 μB/f.u.

Unit cell a=4.385 b=4.385 c=4.385 alpha=60.00 beta=60.00 gamma=60.00
Sites, in units of the cell vectors:
Be: 0.750 0.750 0.750
Hf: 0.500 0.500 0.500
Hg: 0.000 0.000 0.000
Ni: 0.250 0.250 0.250

***

Computed energies relative to the best structure, in meV/atom: 1) 186; 2) 119; 3) 0

***

1) Density functional theory data (GGA-PBE) for crystalline HfBeHgPt at its relaxed geometry.

Magnetization: 0.00 μB/f.u.

Unit cell a=4.538 b=4.538 c=4.538 alpha=60.00 beta=60.00 gamma=60.00
Sites, in units of the cell vectors:
Be: 0.750 0.750 0.750
Hf: 0.000 0.000 0.000
Hg: 0.250 0.250 0.250
Pt: 0.500 0.500 0.500

***

2) Density functional theory data (GGA-PBE) for crystalline HfBeHgPt at its relaxed geometry.

Magnetization: 0.00 μB/f.u.

Unit cell a=4.576 b=4.576 c=4.576 alpha=60.00 beta=60.00 gamma=60.00
Sites, in units of the cell vectors:
Be: 0.750 0.750 0.750
Hf: 0.250 0.250 0.250
Hg: 0.000 0.000 0.000
Pt: 0.500 0.500 0.500

***

Computed energies relative to the best structure, in meV/atom: 1) 146; 2) 0

***

1) Density functional theory data (GGA-PBE) for crystalline HfBeInNi at its relaxed geometry.

Magnetization: 0.15 μB/f.u.

Unit cell a=4.462 b=4.462 c=4.462 alpha=60.00 beta=60.00 gamma=60.00
Sites, in units of the cell vectors:
Be: 0.500 0.500 0.500
Hf: 0.250 0.250 0.250
In: 0.000 0.000 0.000
Ni: 0.750 0.750 0.750

***

2) Density functional theory data (GGA-PBE) for crystalline HfBeInNi at its relaxed geometry.

Magnetization: 0.00 μB/f.u.

Unit cell a=4.396 b=4.396 c=4.396 alpha=60.00 beta=60.00 gamma=60.00
Sites, in units of the cell vectors:
Be: 0.250 0.250 0.250
Hf: 0.500 0.500 0.500
In: 0.000 0.000 0.000
Ni: 0.750 0.750 0.750

***

Computed energies relative to the best structure, in meV/atom: 1) 329; 2) 0

***

1) Density functional theory data (GGA-PBE) for crystalline HfBeIr at its relaxed geometry.

Magnetization: 0.00 μB/f.u.

Unit cell a=4.274 b=4.274 c=4.274 alpha=60.00 beta=60.00 gamma=60.00
Sites, in units of the cell vectors:
Be: 0.250 0.250 0.250
Hf: 0.000 0.000 0.000
Ir: 0.750 0.750 0.750

***

2) Density functional theory data (GGA-PBE) for crystalline HfBeIr at its relaxed geometry.

Magnetization: 0.00 μB/f.u.

Unit cell a=4.241 b=4.241 c=4.241 alpha=60.00 beta=60.00 gamma=60.00
Sites, in units of the cell vectors:
Be: 0.500 0.500 0.500
Hf: 0.000 0.000 0.000
Ir: 0.250 0.250 0.250

***

Computed energies relative to the best structure, in meV/atom: 1) 530; 2) 0

***

1) Density functional theory data (GGA-PBE) for crystalline HfBeTlIr at its relaxed geometry.

Magnetization: 0.00 μB/f.u.

Unit cell a=4.591 b=4.591 c=4.591 alpha=60.00 beta=60.00 gamma=60.00
Sites, in units of the cell vectors:
Be: 0.750 0.750 0.750
Hf: 0.250 0.250 0.250
Ir: 0.000 0.000 0.000
Tl: 0.500 0.500 0.500

***

2) Density functional theory data (GGA-PBE) for crystalline HfBeTlIr at its relaxed geometry.

Magnetization: 0.00 μB/f.u.

Unit cell a=4.548 b=4.548 c=4.548 alpha=60.00 beta=60.00 gamma=60.00
Sites, in units of the cell vectors:
Be: 0.750 0.750 0.750
Hf: 0.500 0.500 0.500
Ir: 0.000 0.000 0.000
Tl: 0.250 0.250 0.250

***

3) Density functional theory data (GGA-PBE) for crystalline HfBeTlIr at its relaxed geometry.

Magnetization: 0.00 μB/f.u.

Unit cell a=4.567 b=4.567 c=4.567 alpha=60.00 beta=60.00 gamma=60.00
Sites, in units of the cell vectors:
Be: 0.750 0.750 0.750
Hf: 0.000 0.000 0.000
Ir: 0.250 0.250 0.250
Tl: 0.500 0.500 0.500

***

Computed energies relative to the best structure, in meV/atom: 1) 87; 2) 184; 3) 0

***

1) Density functional theory data (GGA-PBE) for crystalline KHfBeSe3 at its relaxed geometry.

Magnetization: 0.41 μB/f.u.

Unit cell a=7.850 b=7.850 c=10.227 alpha=90.00 beta=90.00 gamma=152.48
Each line ends with the local moment (μB).
Sites, in units of the cell vectors:
Be: 0.463 0.537 0.250  0.00
Be: 0.537 0.463 0.750  0.00
Hf: 0.000 0.000 0.000  0.19
Hf: 0.000 0.000 0.500  0.19
K: 0.744 0.256 0.250  0.00
K: 0.256 0.744 0.750  0.00
Se: 0.379 0.621 0.069  0.02
Se: 0.055 0.945 0.250  0.00
Se: 0.379 0.621 0.431  0.02
Se: 0.621 0.379 0.569  0.02
Se: 0.945 0.055 0.750  0.00
Se: 0.621 0.379 0.931  0.02

***

2) Density functional theory data (GGA-PBE) for crystalline KHfBeSe3 at its relaxed geometry.

Magnetization: 0.01 μB/f.u.

Unit cell a=9.190 b=3.752 c=9.303 alpha=90.00 beta=112.55 gamma=90.00
Sites, in units of the cell vectors:
Be: 0.083 0.750 0.105
Be: 0.917 0.250 0.895
Hf: 0.351 0.250 0.373
Hf: 0.649 0.750 0.627
K: 0.798 0.250 0.264
K: 0.202 0.750 0.736
Se: 0.187 0.250 0.038
Se: 0.531 0.750 0.318
Se: 0.127 0.750 0.356
Se: 0.873 0.250 0.644
Se: 0.469 0.250 0.682
Se: 0.813 0.750 0.962

***

Computed energies relative to the best structure, in meV/atom: 1) 60; 2) 0

***

1) Density functional theory data (GGA-PBE) for crystalline HfMgBePt at its relaxed geometry.

Magnetization: 0.00 μB/f.u.

Unit cell a=4.421 b=4.421 c=4.421 alpha=60.00 beta=60.00 gamma=60.00
Sites, in units of the cell vectors:
Be: 0.750 0.750 0.750
Hf: 0.000 0.000 0.000
Mg: 0.250 0.250 0.250
Pt: 0.500 0.500 0.500

***

2) Density functional theory data (GGA-PBE) for crystalline HfMgBePt at its relaxed geometry.

Magnetization: 0.00 μB/f.u.

Unit cell a=4.495 b=4.495 c=4.495 alpha=60.00 beta=60.00 gamma=60.00
Sites, in units of the cell vectors:
Be: 0.750 0.750 0.750
Hf: 0.500 0.500 0.500
Mg: 0.000 0.000 0.000
Pt: 0.250 0.250 0.250

***

3) Density functional theory data (GGA-PBE) for crystalline HfMgBePt at its relaxed geometry.

Magnetization: 0.00 μB/f.u.

Unit cell a=4.455 b=4.455 c=4.455 alpha=60.00 beta=60.00 gamma=60.00
Sites, in units of the cell vectors:
Be: 0.500 0.500 0.500
Hf: 0.000 0.000 0.000
Mg: 0.750 0.750 0.750
Pt: 0.250 0.250 0.250

***

Computed energies relative to the best structure, in meV/atom: 1) 260; 2) 0; 3) 91

***

1) Density functional theory data (GGA-PBE) for crystalline HfBeMo at its relaxed geometry.

Magnetization: 0.00 μB/f.u.

Unit cell a=4.101 b=4.101 c=4.101 alpha=60.00 beta=60.00 gamma=60.00
Sites, in units of the cell vectors:
Be: 0.000 0.000 0.000
Hf: 0.250 0.250 0.250
Mo: 0.750 0.750 0.750

***

2) Density functional theory data (GGA-PBE) for crystalline HfBeMo at its relaxed geometry.

Magnetization: 1.18 μB/f.u.

Unit cell a=4.331 b=4.331 c=4.331 alpha=60.00 beta=60.00 gamma=60.00
Sites, in units of the cell vectors:
Be: 0.250 0.250 0.250
Hf: 0.000 0.000 0.000
Mo: 0.750 0.750 0.750

***

Computed energies relative to the best structure, in meV/atom: 1) 0; 2) 1055